The following is a PBE+U calculation of a geometry-optimized InMoIO4 structure, from Alexandria via LeMat-Bulk.

* DFT total energy: -40.7 eV per formula unit
* SG: C2/m

Unit cell a=6.082 b=6.082 c=10.012 alpha=112.08 beta=112.08 gamma=73.03
Positions (direct):
In  0.044  0.044  0.228
In  0.956  0.956  0.772
Mo  0.296  0.296  0.661
Mo  0.704  0.704  0.339
I  0.225  0.225  0.069
I  0.775  0.775  0.931
O  0.130  0.130  0.693
O  0.215  0.614  0.744
O  0.232  0.232  0.461
O  0.386  0.785  0.256
O  0.614  0.215  0.744
O  0.768  0.768  0.539
O  0.785  0.386  0.256
O  0.870  0.870  0.307